Model i:
Density functional theory data (PBE-GGA) for a geometry-optimized LiYCl structure.

a b c (Å): 4.8726 4.8726 4.8726
angles (deg): 60.00 60.00 60.00
Closest atoms and distances in Å follow each position.
Fractional coordinates of all 3 atoms:
Cl1 0.0000 0.0000 0.0000  4 Y 2.98
Y1 0.7500 0.7500 0.7500  4 Cl 2.98, 4 Li 2.98
Li1 0.5000 0.5000 0.5000  4 Y 2.98

Summary:
* density: 2.67 Mg/m³

=====

Model ii:
Density functional theory data (PBE-GGA) for a geometry-optimized LiYCl structure.

a b c (Å): 3.5431 3.5431 6.6254
angles (deg): 90.00 90.00 120.00
Closest atoms and distances in Å follow each position.
Fractional coordinates of all 3 atoms:
Y1 0.3333 0.6667 0.7040  3 Cl 2.90
Cl1 0.0000 0.0000 0.0144  3 Li 2.71, 3 Y 2.90
Li1 0.6667 0.3333 0.2817  3 Cl 2.71

Summary:
* density: 3.03 Mg/m³

=====

Model iii:
Density functional theory data (PBE-GGA) for a geometry-optimized LiYCl structure.

a b c (Å): 4.7703 4.7703 4.7703
angles (deg): 60.00 60.00 60.00
Closest atoms and distances in Å follow each position.
Fractional coordinates of all 3 atoms:
Cl1 0.5000 0.5000 0.5000  4 Li 2.92
Li1 0.7500 0.7500 0.7500  4 Y 2.92, 4 Cl 2.92
Y1 0.0000 0.0000 0.0000  4 Li 2.92

Summary:
* density: 2.84 Mg/m³

=====

Calculated relative energies: model i 786; model ii 0; model iii 970, given in meV per atom

=====

Model i:
Density functional theory data (PBE-GGA) for a geometry-optimized Li3YCl structure.

a b c (Å): 6.0905 6.0905 6.0905
angles (deg): 90.00 90.00 90.00
Closest atoms and distances in Å follow each position.
Fractional coordinates of all 5 atoms:
Li1 0.0000 0.0000 0.5000  2 Y 3.05
Li2 0.0000 0.5000 0.0000  2 Y 3.05
Y1 0.0000 0.0000 0.0000  6 Li 3.05
Cl1 0.5000 0.5000 0.5000  12 Li 4.31
Li3 0.5000 0.0000 0.0000  2 Y 3.05

Summary:
* density: 1.07 Mg/m³

=====

Model ii:
Density functional theory data (PBE-GGA) for a geometry-optimized Li3YCl structure.

a b c (Å): 4.8807 4.8807 4.8807
angles (deg): 90.00 90.00 90.00
Closest atoms and distances in Å follow each position.
Fractional coordinates of all 5 atoms:
Cl1 0.0000 0.0000 0.0000  6 Li 2.44
Y1 0.5000 0.5000 0.5000  12 Li 3.45
Li1 0.0000 0.0000 0.5000  2 Cl 2.44
Li2 0.0000 0.5000 0.0000  2 Cl 2.44
Li3 0.5000 0.0000 0.0000  2 Cl 2.44

Summary:
* density: 2.07 Mg/m³

=====

Calculated relative energies: model i 967; model ii 0, given in meV per atom

=====

Model i:
Density functional theory data (PBE-GGA) for a geometry-optimized LiZnCl3 structure.

a b c (Å): 3.6710 6.8121 10.7914
angles (deg): 93.38 90.00 105.63
Closest atoms and distances in Å follow each position.
Fractional coordinates of all 10 atoms:
Zn1 0.9198 0.8395 0.7271  4 Cl 2.28-2.33
Cl1 0.1602 0.3203 0.0858  1 Zn 2.33, 1 Li 2.46
Cl2 0.6332 0.2663 0.3870  2 Zn 2.29
Cl3 0.9085 0.8170 0.2284  1 Zn 2.28, 2 Li 2.46
Li1 0.3482 0.6964 0.0911  5 Cl 2.46-2.65
Cl4 0.0915 0.1830 0.7716  1 Zn 2.28, 2 Li 2.46
Li2 0.6518 0.3036 0.9089  5 Cl 2.46-2.65
Cl5 0.3668 0.7337 0.6130  2 Zn 2.29
Cl6 0.8398 0.6797 0.9142  1 Zn 2.33, 1 Li 2.46
Zn2 0.0802 0.1605 0.2729  4 Cl 2.28-2.33

Summary:
* density: 2.29 Mg/m³

=====

Model ii:
Density functional theory data (PBE-GGA) for a geometry-optimized LiZnCl3 structure.

a b c (Å): 4.8884 4.8884 4.8884
angles (deg): 90.00 90.00 90.00
Closest atoms and distances in Å follow each position.
Fractional coordinates of all 5 atoms:
Li1 0.5000 0.5000 0.5000  12 Cl 3.46
Cl1 0.0000 0.5000 0.0000  2 Zn 2.44
Cl2 0.5000 0.0000 0.0000  2 Zn 2.44
Cl3 0.0000 0.0000 0.5000  2 Zn 2.44
Zn1 0.0000 0.0000 0.0000  6 Cl 2.44

Summary:
* density: 2.54 Mg/m³

=====

Calculated relative energies: model i 0; model ii 306, given in meV per atom

=====

Model i:
Density functional theory data (PBE-GGA) for a geometry-optimized LiZn3Cl structure.

a b c (Å): 5.3824 5.3824 5.3824
angles (deg): 90.00 90.00 90.00
Closest atoms and distances in Å follow each position.
Fractional coordinates of all 5 atoms:
Li1 0.5000 0.5000 0.5000  12 Zn 3.81
Zn1 0.0000 0.5000 0.0000  2 Cl 2.69
Zn2 0.0000 0.0000 0.5000  2 Cl 2.69
Zn3 0.5000 0.0000 0.0000  2 Cl 2.69
Cl1 0.0000 0.0000 0.0000  6 Zn 2.69

Summary:
* density: 2.54 Mg/m³

=====

Model ii:
Density functional theory data (PBE-GGA) for a geometry-optimized LiZn3Cl structure.

a b c (Å): 4.8962 4.8962 4.8962
angles (deg): 90.00 90.00 90.00
Closest atoms and distances in Å follow each position.
Fractional coordinates of all 5 atoms:
Cl1 0.5000 0.5000 0.5000  12 Zn 3.46
Zn1 0.0000 0.5000 0.0000  2 Li 2.45
Zn2 0.0000 0.0000 0.5000  2 Li 2.45
Li1 0.0000 0.0000 0.0000  6 Zn 2.45
Zn3 0.5000 0.0000 0.0000  2 Li 2.45

Summary:
* density: 3.38 Mg/m³

=====

Calculated relative energies: model i 288; model ii 0, given in meV per atom

=====

Model i:
Density functional theory data (PBE-GGA) for a geometry-optimized LiZrCl2 structure.

a b c (Å): 3.1940 3.2880 7.5037
angles (deg): 99.18 90.00 90.00
Closest atoms and distances in Å follow each position.
Fractional coordinates of all 4 atoms:
Zr1 0.5000 0.7500 0.7500  4 Cl 2.68
Li1 0.5000 0.2500 0.2500  4 Cl 2.48
Cl1 0.0000 0.6572 0.4589  2 Li 2.48, 2 Zr 2.68
Cl2 0.0000 0.8428 0.0411  2 Li 2.48, 2 Zr 2.68

Summary:
* density: 3.61 Mg/m³

=====

Model ii:
Density functional theory data (PBE-GGA) for a geometry-optimized LiZrCl2 structure.

a b c (Å): 5.2508 3.3478 4.9190
angles (deg): 70.00 90.00 90.00
Closest atoms and distances in Å follow each position.
Fractional coordinates of all 4 atoms:
Cl1 0.5000 0.1925 0.2374  3 Zr 2.59-2.63
Zr1 0.5000 0.9135 0.7983  5 Cl 2.59-2.68
Li1 0.0000 0.5384 0.5502  2 Cl 2.37
Cl2 0.0000 0.8556 0.9141  2 Li 2.37

Summary:
* density: 3.46 Mg/m³

=====

Model iii:
Density functional theory data (PBE-GGA) for a geometry-optimized LiZrCl2 structure.

a b c (Å): 8.2713 8.2713 8.2713
angles (deg): 24.10 24.10 24.10
Closest atoms and distances in Å follow each position.
Fractional coordinates of all 4 atoms:
Cl1 0.1053 0.1053 0.1053  3 Li 2.48, 1 Zr 2.54
Zr1 0.0000 0.0000 0.0000  2 Cl 2.54
Cl2 0.8947 0.8947 0.8947  3 Li 2.48, 1 Zr 2.54
Li1 0.5000 0.5000 0.5000  6 Cl 2.48

Summary:
* density: 3.39 Mg/m³

=====

Calculated relative energies: model i 69; model ii 217; model iii 0, given in meV per atom

=====

Model i:
Density functional theory data (PBE-GGA) for a geometry-optimized LiZrCl2 structure.

a b c (Å): 4.6024 4.6024 4.6024
angles (deg): 60.00 60.00 60.00
Closest atoms and distances in Å follow each position.
Fractional coordinates of all 4 atoms:
Cl1 0.7500 0.7500 0.7500  4 Zr 2.82, 4 Li 2.82
Zr1 0.5000 0.5000 0.5000  8 Cl 2.82
Cl2 0.2500 0.2500 0.2500  4 Zr 2.82, 4 Li 2.82
Li1 0.0000 0.0000 0.0000  8 Cl 2.82

Summary:
* density: 4.07 Mg/m³

=====

Model ii:
Density functional theory data (PBE-GGA) for a geometry-optimized LiZrCl2 structure.

a b c (Å): 6.0105 6.0105 6.4863
angles (deg): 62.40 62.40 90.00
Closest atoms and distances in Å follow each position.
Fractional coordinates of all 8 atoms:
Zr1 0.7500 0.2500 0.5000  4 Cl 2.62
Li1 0.5000 0.5000 0.0000  4 Cl 2.30
Cl1 0.1681 0.6250 0.2500  2 Li 2.30
Cl2 0.8750 0.8319 0.7500  2 Li 2.30
Li2 0.2500 0.7500 0.5000  4 Cl 2.30
Zr2 0.0000 0.0000 0.0000  4 Cl 2.62
Cl3 0.3750 0.4181 0.7500  2 Li 2.30
Cl4 0.5819 0.1250 0.2500  2 Li 2.30

Summary:
* density: 3.17 Mg/m³

=====

Calculated relative energies: model i 113; model ii 0, given in meV per atom

=====

Model i:
Density functional theory data (PBE-GGA) for a geometry-optimized LiZrCl2 structure.

a b c (Å): 7.4466 7.4466 7.4466
angles (deg): 154.58 154.27 36.48
Closest atoms and distances in Å follow each position.
Fractional coordinates of all 4 atoms:
Cl1 0.0265 0.0265 0.0000  4 Li 2.37
Cl2 0.7956 0.2956 0.5000  4 Zr 2.82
Zr1 0.1834 0.6834 0.5000  6 Cl 2.76-2.82
Li1 0.4945 0.4945 0.0000  4 Cl 2.37

Summary:
* density: 3.65 Mg/m³

=====

Model ii:
Density functional theory data (PBE-GGA) for a geometry-optimized LiZrCl2 structure.

a b c (Å): 3.2980 6.3965 3.9935
angles (deg): 90.00 90.00 90.00
Closest atoms and distances in Å follow each position.
Fractional coordinates of all 4 atoms:
Zr1 0.0000 0.5000 0.5000  4 Cl 2.59
Li1 0.5000 0.0000 0.5000  4 Cl 2.59
Cl1 0.5000 0.5000 0.0000  4 Zr 2.59
Cl2 0.0000 0.0000 0.0000  4 Li 2.59

Summary:
* density: 3.33 Mg/m³

=====

Calculated relative energies: model i 0; model ii 238, given in meV per atom

=====

Model i:
Density functional theory data (PBE-GGA) for a geometry-optimized LiZrCl2 structure.

a b c (Å): 4.9133 4.9133 4.9133
angles (deg): 60.00 60.00 60.00
Closest atoms and distances in Å follow each position.
Fractional coordinates of all 4 atoms:
Cl1 0.0000 0.0000 0.0000  4 Cl 3.01, 4 Zr 3.01
Cl2 0.2500 0.2500 0.2500  4 Cl 3.01, 4 Li 3.01
Zr1 0.7500 0.7500 0.7500  4 Cl 3.01, 4 Li 3.01
Li1 0.5000 0.5000 0.5000  4 Zr 3.01, 4 Cl 3.01

Summary:
* density: 3.35 Mg/m³

=====

Model ii:
Density functional theory data (PBE-GGA) for a geometry-optimized LiZrCl2 structure.

a b c (Å): 4.4673 4.4673 6.1300
angles (deg): 68.39 68.39 42.72
Closest atoms and distances in Å follow each position.
Fractional coordinates of all 4 atoms:
Cl1 0.4687 0.4687 0.4908  2 Li 2.49, 3 Zr 2.75-2.76
Cl2 0.0313 0.0313 0.0092  2 Li 2.49, 3 Zr 2.75-2.76
Zr1 0.2500 0.2500 0.2500  6 Cl 2.75-2.76
Li1 0.7500 0.7500 0.7500  4 Cl 2.49

Summary:
* density: 3.68 Mg/m³

=====

Model iii:
Density functional theory data (PBE-GGA) for a geometry-optimized LiZrCl2 structure.

a b c (Å): 8.8999 8.8999 8.8999
angles (deg): 21.62 21.62 21.62
Closest atoms and distances in Å follow each position.
Fractional coordinates of all 4 atoms:
Cl1 0.0951 0.0951 0.0951  1 Li 2.48, 3 Zr 2.68
Zr1 0.5000 0.5000 0.5000  6 Cl 2.68
Li1 0.0000 0.0000 0.0000  2 Cl 2.48
Cl2 0.9049 0.9049 0.9049  1 Li 2.48, 3 Zr 2.68

Summary:
* density: 3.35 Mg/m³

=====

Calculated relative energies: model i 1008; model ii 121; model iii 0, given in meV per atom